# 1
A plane-wave DFT calculation with PBE-GGA was carried out for a relaxed Pm3Er13 crystal.

```
data_Pm3Er13
_space_group_name_H-M_alt 'A m m 2'
_space_group_IT_number 38
_space_group_name_Hall 'A 2 -2'
_cell_length_a 7.230
_cell_length_b 11.211
_cell_length_c 12.495
_cell_angle_alpha 90.00
_cell_angle_beta 90.00
_cell_angle_gamma 90.00
loop_
_atom_site_label
_atom_site_fract_x
_atom_site_fract_y
_atom_site_fract_z
Pm1 0.000 0.000 0.000
Pm2 0.252 0.000 0.747
Er1 0.000 0.000 0.497
Er2 0.000 0.249 0.166
Er3 0.250 0.000 0.250
Er4 0.251 0.247 0.416
Er5 0.500 0.000 0.000
Er6 0.500 0.000 0.497
Er7 0.500 0.247 0.166
```

Volume = 31.7 A^3/atom
Calculated formation energy = 0.008 eV/atom
Energy relative to the lowest polymorph listed for this composition = 0 meV per atom
Uncorrected energy = -4.590 eV/atom

# 2
A plane-wave DFT calculation with PBE-GGA was carried out for a relaxed Pm2DyTmAs4 crystal.

```
data_Pm2DyTmAs4
_space_group_name_H-M_alt 'P 1 2/m 1'
_space_group_IT_number 10
_space_group_name_Hall '-P 2y'
_cell_length_a 7.210
_cell_length_b 4.169
_cell_length_c 7.216
_cell_angle_alpha 90.00
_cell_angle_beta 109.48
_cell_angle_gamma 90.00
loop_
_atom_site_label
_atom_site_fract_x
_atom_site_fract_y
_atom_site_fract_z
Pm1 0.000 0.000 0.000
Pm2 0.000 0.500 0.500
Dy1 0.500 0.000 0.500
Tm1 0.500 0.500 0.000
As1 0.259 0.500 0.251
As2 0.260 0.000 0.755
```

Volume = 25.6 A^3/atom
Calculated formation energy = -1.518 eV/atom
Uncorrected energy = -6.165 eV/atom

# 3
A plane-wave DFT calculation with PBE-GGA was carried out for a relaxed ScV3N crystal.

```
data_ScV3N
_space_group_name_H-M_alt 'P m -3 m'
_space_group_IT_number 221
_space_group_name_Hall '-P 4 2 3'
_cell_length_a 4.459
_cell_length_b 4.459
_cell_length_c 4.459
_cell_angle_alpha 90.00
_cell_angle_beta 90.00
_cell_angle_gamma 90.00
loop_
_atom_site_label
_atom_site_fract_x
_atom_site_fract_y
_atom_site_fract_z
Sc1 0.000 0.000 0.000
V1 0.000 0.000 0.500
N1 0.500 0.500 0.500
```

Volume = 17.7 A^3/atom
Energy relative to the lowest polymorph listed for this composition = 3075 meV per atom
Uncorrected energy = -5.750 eV/atom

Which value of volume does entry 2 give? 25.6 A^3/atom